Record 1
Here is crystalline Ca2DyGa3Au4 at its relaxed geometry from Alexandria via LeMat-Bulk. Energies are from GGA-PBE.

Unit cell a=4.4188 b=4.4188 c=11.5823 alpha=90.00 beta=90.00 gamma=90.00
Closest atoms and distances in Å follow each position.
Positions (direct):
Ca (0.0000, 0.5000, 0.2214)  4 Ga 3.33, 8 Au 3.39-3.42
Ca (0.5000, 0.0000, 0.7786)  4 Ga 3.33, 8 Au 3.39-3.42
Dy (0.0000, 0.0000, 0.5000)  4 Au 2.88, 4 Ga 3.12
Ga (0.0000, 0.5000, 0.8775)  5 Au 2.53-2.63
Ga (0.5000, 0.0000, 0.1225)  5 Au 2.53-2.63
Ga (0.5000, 0.5000, 0.5000)  4 Au 2.88, 4 Dy 3.12
Au (0.0000, 0.0000, 0.0000)  4 Ga 2.63
Au (0.0000, 0.5000, 0.6594)  1 Ga 2.53
Au (0.5000, 0.0000, 0.3406)  1 Ga 2.53
Au (0.5000, 0.5000, 0.0000)  4 Ga 2.63

Output
Energy ... -3.694 eV/atom
Formation enthalpy at 0 K ... -593 kJ/mol of formula units


Record 2
Here is crystalline SmScAl2Pd5 at its relaxed geometry from Alexandria via LeMat-Bulk. Energies are from GGA-PBE.

Unit cell a=4.1693 b=4.1693 c=9.3319 alpha=90.00 beta=90.00 gamma=90.00
Closest atoms and distances in Å follow each position.
Positions (direct):
Sm (0.0000, 0.0000, 0.0000)  12 Pd 2.95-2.99
Sc (0.0000, 0.0000, 0.5000)  8 Al 3.20, 8 Pd 3.27
Al (0.5000, 0.5000, 0.3657)  4 Pd 2.44, 1 Al 2.51
Al (0.5000, 0.5000, 0.6343)  4 Pd 2.44, 1 Al 2.51
Pd (0.0000, 0.5000, 0.2294)  2 Al 2.44
Pd (0.0000, 0.5000, 0.7706)  2 Al 2.44
Pd (0.5000, 0.0000, 0.2294)  2 Al 2.44
Pd (0.5000, 0.0000, 0.7706)  2 Al 2.44
Pd (0.5000, 0.5000, 0.0000)  4 Sm 2.95, 8 Pd 2.99

Output
Energy ... -5.695 eV/atom
Formation enthalpy at 0 K ... -652 kJ/mol of formula units


Record 3
Here is crystalline NiRuBr2 at its relaxed geometry from Alexandria via LeMat-Bulk. Energies are from GGA-PBE.

Unit cell a=4.5331 b=4.5331 c=4.5331 alpha=60.00 beta=60.00 gamma=60.00
Closest atoms and distances in Å follow each position.
Positions (direct):
Ni (0.0000, 0.0000, 0.0000)  8 Br 2.78
Ru (0.5000, 0.5000, 0.5000)  8 Br 2.78
Br (0.2500, 0.2500, 0.2500)  4 Ru 2.78, 4 Ni 2.78
Br (0.7500, 0.7500, 0.7500)  4 Ru 2.78, 4 Ni 2.78

Output
Excess energy over the best structure of this formula in the dataset ... 14.865 kcal/mol of atoms
Energy ... -3.783 eV/atom
Raw formation energy ... 0.8173 eV/atom


Record 4
Here is crystalline Tb2CuTe at its relaxed geometry from Alexandria via LeMat-Bulk. Energies are from GGA-PBE.

Unit cell a=11.6259 b=11.6259 c=4.4453 alpha=90.00 beta=90.00 gamma=159.87
Closest atoms and distances in Å follow each position.
Positions (direct):
Tb (0.0586, 0.9414, 0.7500)  6 Cu 2.93-3.07, 1 Te 3.13
Tb (0.3366, 0.6634, 0.7500)  1 Cu 2.97, 5 Te 3.10-3.23
Tb (0.6634, 0.3366, 0.2500)  1 Cu 2.97, 5 Te 3.10-3.23
Tb (0.9414, 0.0586, 0.2500)  6 Cu 2.93-3.07, 1 Te 3.13
Cu (0.4665, 0.5335, 0.7500)  2 Cu 2.70, 3 Tb 2.93-2.97
Cu (0.5335, 0.4665, 0.2500)  2 Cu 2.70, 3 Tb 2.93-2.97
Te (0.1955, 0.8045, 0.7500)  6 Tb 3.10-3.23
Te (0.8045, 0.1955, 0.2500)  6 Tb 3.10-3.23

Output
Excess energy over the best structure of this formula in the dataset ... 0.000 kcal/mol of atoms
Energy ... -4.885 eV/atom
Raw formation energy ... -0.7607 eV/atom


Record 5
Here is crystalline TcP2W at its relaxed geometry from Alexandria via LeMat-Bulk. Energies are from GGA-PBE.

Unit cell a=7.6120 b=7.6120 c=7.6120 alpha=22.37 beta=22.37 gamma=22.37
Closest atoms and distances in Å follow each position.
Positions (direct):
Tc (0.0000, 0.0000, 0.0000)  6 P 2.49
P (0.2518, 0.2518, 0.2518)  3 Tc 2.49, 3 W 2.55
P (0.7482, 0.7482, 0.7482)  3 Tc 2.49, 3 W 2.55
W (0.5000, 0.5000, 0.5000)  6 P 2.55

Output
Excess energy over the best structure of this formula in the dataset ... 8.360 kcal/mol of atoms
Energy ... -8.576 eV/atom
Formation enthalpy at 0 K ... -16 kJ/mol of formula units


Record 6
Here is crystalline CdH at its relaxed geometry from Alexandria via LeMat-Bulk. Energies are from GGA-PBE.

Unit cell a=3.4900 b=3.4900 c=3.4900 alpha=60.00 beta=60.00 gamma=60.00
Closest atoms and distances in Å follow each position.
Positions (direct):
Cd (0.0000, 0.0000, 0.0000)  4 H 2.14
H (0.2500, 0.2500, 0.2500)  4 Cd 2.14

Output
Excess energy over the best structure of this formula in the dataset ... 8.089 kcal/mol of atoms
Energy ... -1.650 eV/atom


Number 1: Fermi-level density of states 6.25 states/eV per cell. Number 2: Fermi-level density of states 5.94 states/eV per cell. Number 3: Fermi-level density of states 3.59 states/eV per cell. Number 4: Fermi-level density of states 4.86 states/eV per cell. Number 5: Fermi-level density of states 3.39 states/eV per cell. Number 6: Fermi-level density of states 0.82 states/eV per cell.